1.
VASP calculation (PBE) on a geometry-optimized KY2O structure.

Geometry as CIF:
```
data_KY2O
_space_group_name_H-M_alt 'R -3 m'
_space_group_IT_number 166
_space_group_name_Hall '-R 3 2"'
_cell_length_a 3.5805
_cell_length_b 3.5805
_cell_length_c 30.0872
_cell_angle_alpha 90.00
_cell_angle_beta 90.00
_cell_angle_gamma 120.00
loop_
_atom_site_label
_atom_site_fract_x
_atom_site_fract_y
_atom_site_fract_z
K1 0.0000 0.0000 0.0000
Y1 0.0000 0.0000 0.1235
O1 0.0000 0.0000 0.5000
```

As for the density of states at the Fermi level: 0.93 states/eV per atom. The crystal system is trigonal. The theoretical density is 3.47 g cm⁻³. Its total energy is -5.831 eV/atom. Its formation energy from raw total energies is -1.08 eV/atom.

=====

2.
VASP calculation (PBE) on a geometry-optimized K3YO3 structure.

Geometry as CIF:
```
data_K3YO3
_space_group_name_H-M_alt 'C 1 2/m 1'
_space_group_IT_number 12
_cell_length_a 7.4581
_cell_length_b 12.1774
_cell_length_c 7.0169
_cell_angle_alpha 90.00
_cell_angle_beta 97.19
_cell_angle_gamma 90.00
loop_
_space_group_symop_operation_xyz
'x,y,z'
'-x,-y,-z'
'-x,y,-z'
'x,-y,z'
'x+1/2,y+1/2,z'
'-x+1/2,-y+1/2,-z'
'-x+1/2,y+1/2,-z'
'x+1/2,-y+1/2,z'
loop_
_atom_site_label
_atom_site_fract_x
_atom_site_fract_y
_atom_site_fract_z
K1 0.0000 0.2101 0.0000
K2 0.0000 0.2590 0.5000
K3 0.1376 0.5000 0.8641
Y1 0.1847 0.0000 0.6482
O1 0.1055 0.0000 0.3339
O2 0.1803 0.3579 0.2313
```

As for the density of states at the Fermi level: 0.00 states/eV per atom. The crystal system is monoclinic. The theoretical density is 2.67 g cm⁻³. Its total energy is -5.459 eV/atom. Its formation energy from raw total energies is -1.94 eV/atom.

=====

3.
VASP calculation (PBE) on a geometry-optimized KY2O structure.

Geometry as CIF:
```
data_KY2O
_space_group_name_H-M_alt 'I -4 2 d'
_space_group_IT_number 122
_space_group_name_Hall 'I -4 2bw'
_cell_length_a 7.3570
_cell_length_b 7.3570
_cell_length_c 10.4105
_cell_angle_alpha 90.00
_cell_angle_beta 90.00
_cell_angle_gamma 90.00
loop_
_atom_site_label
_atom_site_fract_x
_atom_site_fract_y
_atom_site_fract_z
K1 0.0000 0.0000 0.0000
Y1 0.0010 0.2500 0.6250
O1 0.0000 0.0000 0.5000
```

As for the density of states at the Fermi level: 0.94 states/eV per atom. The crystal system is tetragonal. The theoretical density is 2.75 g cm⁻³. Its total energy is -5.825 eV/atom. Its formation energy from raw total energies is -1.08 eV/atom.